Run i
The following is a DFT calculation (GGA-PBE) of a relaxed La2TcW crystal.

Calculated values
The total magnetization comes out at 0.000 Bohr magnetons per cell. The density of states at the Fermi level is 3.481 states/eV per cell.

Lattice parameters (Å, degrees): 3.2458 3.2458 9.2772 90.00 90.00 90.00
Last column: nearest neighbours and their distance in Å.
Space group P4mm (No. 99)
Asymmetric unit:
La1 0.0000 0.0000 0.0000  4 W 3.23, 4 La 3.25, 1 Tc 3.58
La2 0.5000 0.5000 0.3797  4 Tc 3.16, 4 La 3.25, 1 W 3.48
Tc1 0.0000 0.0000 0.6145  4 W 2.64
W1 0.5000 0.5000 0.7548  4 Tc 2.64

Run ii
The following is a DFT calculation (GGA-PBE) of a relaxed La2TcW crystal.

Calculated values
The total magnetization comes out at 0.001 Bohr magnetons per cell. The density of states at the Fermi level is 12.569 states/eV per cell.

Lattice parameters (Å, degrees): 5.5792 5.5792 6.0251 90.00 90.00 90.00
Last column: nearest neighbours and their distance in Å.
Space group I4/mmm (No. 139)
Asymmetric unit:
La1 0.0000 0.5000 0.2500  2 La 3.01, 4 W 3.17, 4 Tc 3.17
Tc1 0.0000 0.0000 0.0000  2 W 3.01, 8 La 3.17
W1 0.0000 0.0000 0.5000  2 Tc 3.01, 8 La 3.17

Here is how they stack up, most stable first: run i, run ii.

Run i
The following is a DFT calculation (GGA-PBE) of a relaxed La2TcW crystal.

Calculated values
The total magnetization comes out at 0.000 Bohr magnetons per cell. The density of states at the Fermi level is 9.477 states/eV per cell.

Lattice parameters (Å, degrees): 3.4022 5.2470 9.6789 90.00 90.00 90.00
Last column: nearest neighbours and their distance in Å.
Space group Cmmm (No. 65)
Asymmetric unit:
La1 0.0000 0.0000 0.2372  2 Tc 2.86, 2 W 3.06, 4 La 3.13
Tc1 0.0000 0.5000 0.0000  4 La 2.86, 4 Tc 3.13
W1 0.0000 0.5000 0.5000  4 La 3.06, 6 W 3.13-3.40

Run ii
The following is a DFT calculation (GGA-PBE) of a relaxed La2TcW crystal.

Calculated values
The total magnetization comes out at 0.000 Bohr magnetons per cell. The density of states at the Fermi level is 12.967 states/eV per cell.

Lattice parameters (Å, degrees): 6.2548 9.5972 3.1458 90.00 114.15 90.00
Last column: nearest neighbours and their distance in Å.
Space group C2/m (No. 12)
Asymmetric unit:
La1 0.2500 0.2500 0.0000  2 Tc 2.94, 2 W 2.94, 4 La 3.13-3.15
Tc1 0.0000 0.0000 0.5000  4 La 2.94, 2 W 3.13, 2 Tc 3.15
W1 0.0000 0.5000 0.5000  4 La 2.94, 2 Tc 3.13, 2 W 3.15

Here is how they stack up, most stable first: run i, run ii.

Run i
The following is a DFT calculation (GGA-PBE) of a relaxed LaTc3W crystal.

Calculated values
The total magnetization comes out at 0.850 Bohr magnetons per cell. The density of states at the Fermi level is 7.656 states/eV per cell.

Lattice parameters (Å, degrees): 4.7895 4.7895 4.7895 90.00 90.00 90.00
Last column: nearest neighbours and their distance in Å.
Space group Pm-3m (No. 221)
Asymmetric unit:
La1 0.0000 0.0000 0.0000  12 Tc 3.39
Tc1 0.0000 0.5000 0.5000  2 W 2.39
W1 0.5000 0.5000 0.5000  6 Tc 2.39

Run ii
The following is a DFT calculation (GGA-PBE) of a relaxed LaTc3W crystal.

Calculated values
The total magnetization comes out at 0.000 Bohr magnetons per cell. The density of states at the Fermi level is 6.040 states/eV per cell.

Lattice parameters (Å, degrees): 4.6529 4.6529 4.6529 90.00 90.00 90.00
Last column: nearest neighbours and their distance in Å.
Space group Pm-3m (No. 221)
Asymmetric unit:
La1 0.0000 0.0000 0.0000  6 Tc 2.33
Tc1 0.0000 0.0000 0.5000  2 La 2.33
W1 0.5000 0.5000 0.5000  12 Tc 3.29

Here is how they stack up, most stable first: run i, run ii.

Run i
The following is a DFT calculation (GGA-PBE) of a relaxed LaYTc2 crystal.

Calculated values
The total magnetization comes out at 0.000 Bohr magnetons per cell. The density of states at the Fermi level is 17.272 states/eV per cell.

Lattice parameters (Å, degrees): 7.5704 7.5704 6.0953 90.00 90.00 90.00
Last column: nearest neighbours and their distance in Å.
Space group I-42d (No. 122)
Asymmetric unit:
La1 0.0000 0.0000 0.0000  4 Tc 2.72
Y1 0.0000 0.0000 0.5000  4 Tc 2.85, 2 La 3.05
Tc1 0.2373 0.2500 0.1250  2 La 2.72, 2 Y 2.85

Run ii
The following is a DFT calculation (GGA-PBE) of a relaxed LaYTc2 crystal.

Calculated values
The total magnetization comes out at 0.000 Bohr magnetons per cell. The density of states at the Fermi level is 10.384 states/eV per cell.

Lattice parameters (Å, degrees): 8.8300 3.3716 5.9877 90.00 98.40 90.00
Last column: nearest neighbours and their distance in Å.
Space group C2/m (No. 12)
Asymmetric unit:
La1 0.0000 0.0000 0.0000  2 Tc 2.59
Y1 0.0000 0.5000 0.5000  6 Tc 3.07-3.10, 2 Y 3.37, 4 La 3.44
Tc1 0.2406 0.0000 0.7976  1 La 2.59

Run iii
The following is a DFT calculation (GGA-PBE) of a relaxed LaYTc2 crystal.

Calculated values
The total magnetization comes out at 0.000 Bohr magnetons per cell. The density of states at the Fermi level is 5.308 states/eV per cell.

Lattice parameters (Å, degrees): 3.1951 3.1951 9.0295 90.00 90.00 90.00
Last column: nearest neighbours and their distance in Å.
Space group P4mm (No. 99)
Asymmetric unit:
La1 0.0000 0.0000 0.0000  5 Tc 3.18-3.55, 4 La 3.20
Y1 0.5000 0.5000 0.6232  5 Tc 3.07-3.39, 4 Y 3.20
Tc1 0.0000 0.0000 0.3935  4 Tc 2.61
Tc2 0.5000 0.5000 0.2477  4 Tc 2.61

Run iv
The following is a DFT calculation (GGA-PBE) of a relaxed LaYTc2 crystal.

Calculated values
The total magnetization comes out at 0.000 Bohr magnetons per cell. The density of states at the Fermi level is 10.759 states/eV per cell.

Lattice parameters (Å, degrees): 4.1433 4.1433 22.3031 90.00 90.00 120.00
Last column: nearest neighbours and their distance in Å.
Space group R3m (No. 160, hexagonal axes)
Asymmetric unit:
La1 0.0000 0.0000 0.0000  6 Tc 3.05-3.40
Y1 0.0000 0.0000 0.1840  6 Tc 2.93-3.26
Tc1 0.0000 0.0000 0.4415  3 Tc 2.45
Tc2 0.0000 0.0000 0.7517  3 Tc 2.45

Here is how they stack up, most stable first: run iv, run iii, run ii, run i.